[1]
CdSiOs2C: PBEsol geometry, meta-GGA SCAN.

Lattice parameters (Å, degrees): 3.5564 4.5980 4.5980 90.00 90.00 90.00
With the nearest neighbours (Å) after each atom.
Positions (direct):
Os 0.0000 0.5000 0.0000  2 Si 2.30
Cd 0.5000 0.5000 0.5000  8 Os 2.91, 4 C 3.25
C 0.5000 0.0000 0.0000  2 Si 1.78
Si 0.0000 0.0000 0.0000  2 C 1.78
Os 0.0000 0.0000 0.5000  2 Si 2.30

## Properties
* Fermi-level density of states: 3.3 states/eV/f.u.
* raw formation energy: 1.6335 eV per atom
* electronic total energy: -37.224 eV per atom

---

[2]
Cd3PC: PBEsol geometry, meta-GGA SCAN.

Lattice parameters (Å, degrees): 4.9512 4.9512 4.9512 90.00 90.00 90.00
With the nearest neighbours (Å) after each atom.
Positions (direct):
C 0.5000 0.5000 0.5000  12 Cd 3.50
Cd 0.0000 0.0000 0.5000  2 P 2.48
Cd 0.5000 0.0000 0.0000  2 P 2.48
P 0.0000 0.0000 0.0000  6 Cd 2.48
Cd 0.0000 0.5000 0.0000  2 P 2.48

## Properties
* E_form: 7.619 eV per formula unit
* Fermi-level density of states: 2.6 states/eV/f.u.
* electronic total energy: -20.825 eV per atom

---

[3]
Cd2PC: PBEsol geometry, meta-GGA SCAN.

Lattice parameters (Å, degrees): 5.5799 6.4787 5.5799 64.49 90.00 115.51
With the nearest neighbours (Å) after each atom.
Positions (direct):
C 0.2500 0.5000 0.2500  4 Cd 2.18
C 0.5000 0.0000 0.5000  4 Cd 2.18
Cd 0.3750 0.2500 0.1806  2 C 2.18
P 0.7500 0.5000 0.7500  4 Cd 2.55
Cd 0.8750 0.2500 0.5694  2 C 2.18
Cd 0.1806 0.7500 0.8750  2 C 2.18
Cd 0.5694 0.7500 0.3750  2 C 2.18
P 0.0000 0.0000 0.0000  4 Cd 2.55

## Properties
* E_form: 4.896 eV per formula unit
* Fermi-level density of states: 3.1 states/eV/f.u.
* electronic total energy: -19.108 eV per atom

---

[4]
CdPC3: PBEsol geometry, meta-GGA SCAN.

Lattice parameters (Å, degrees): 4.1991 4.1991 4.1991 90.00 90.00 90.00
With the nearest neighbours (Å) after each atom.
Positions (direct):
C 0.0000 0.5000 0.0000  2 Cd 2.10
P 0.5000 0.5000 0.5000  12 C 2.97
C 0.5000 0.0000 0.0000  2 Cd 2.10
Cd 0.0000 0.0000 0.0000  6 C 2.10
C 0.0000 0.0000 0.5000  2 Cd 2.10

## Properties
* E_form: 18.561 eV per formula unit
* Fermi-level density of states: 2.9 states/eV/f.u.
* electronic total energy: -10.510 eV per atom

---

[5]
ScCd2PC: PBEsol geometry, meta-GGA SCAN.

Lattice parameters (Å, degrees): 4.7720 5.6586 5.6586 90.00 90.00 90.00
With the nearest neighbours (Å) after each atom.
Positions (direct):
C 0.5000 0.5000 0.5000  8 Cd 3.70, 4 P 4.00
Cd 0.0000 0.5000 0.0000  2 Sc 2.83
P 0.5000 0.0000 0.0000  2 Sc 2.39
Cd 0.0000 0.0000 0.5000  2 Sc 2.83
Sc 0.0000 0.0000 0.0000  2 P 2.39

## Properties
* E_form: 8.564 eV per formula unit
* Fermi-level density of states: 4.8 states/eV/f.u.
* electronic total energy: -17.400 eV per atom

---

[6]
RbCdRu2C: PBEsol geometry, meta-GGA SCAN.

Lattice parameters (Å, degrees): 4.9824 4.9824 6.6667 90.00 90.00 90.00
With the nearest neighbours (Å) after each atom.
Positions (direct):
Ru 0.0000 0.5000 0.0000  2 Cd 2.49
Ru 0.5000 0.0000 0.0000  2 Cd 2.49
Rb 0.0000 0.0000 0.5000  2 Cd 3.33, 4 C 3.52
C 0.5000 0.5000 0.5000  4 Rb 3.52
Cd 0.0000 0.0000 0.0000  4 Ru 2.49

## Properties
* E_form: 14.016 eV per formula unit
* Fermi-level density of states: 3.3 states/eV/f.u.
* electronic total energy: -23.378 eV per atom